First-principles (PBE with a Hubbard U) data for a geometry-optimized FePdNO2 structure, as listed in Alexandria.

Output
ρ: 6.73 Mg/m³
DFT total energy: -5.022 eV/atom

a = 3.849 Å, b = 3.849 Å, c = 3.468 Å
α = 90.00°, β = 90.00°, γ = 90.00°
Positions (direct):
O 0.000 0.500 0.000
O 0.500 0.000 0.000
Fe 0.000 0.000 0.000
Pd 0.500 0.500 0.500
N 0.000 0.000 0.500